Entry 1:
VASP calculation (GGA-PBE) on a geometry-optimized ScHgPd5 structure.

Cell and atoms, written as CIF:
```
data_ScHgPd5
_space_group_name_H-M_alt 'P 4/m m m'
_space_group_IT_number 123
_space_group_name_Hall '-P 4 2'
_cell_length_a 3.995
_cell_length_b 3.995
_cell_length_c 7.832
_cell_angle_alpha 90.00
_cell_angle_beta 90.00
_cell_angle_gamma 90.00
loop_
_atom_site_label
_atom_site_type_symbol
_atom_site_fract_x
_atom_site_fract_y
_atom_site_fract_z
_atom_site_occupancy
Sc1 Sc 0.000 0.000 0.000 1
Hg1 Hg 0.500 0.500 0.500 1
Pd1 Pd 0.000 0.000 0.500 1
Pd2 Pd 0.000 0.500 0.232 1
```

Entry 2:
VASP calculation (GGA-PBE) on a geometry-optimized Sc3HgPd5 structure.

Cell and atoms, written as CIF:
```
data_Sc3HgPd5
_space_group_name_H-M_alt 'P 63/m c m'
_space_group_IT_number 193
_space_group_name_Hall '-P 6c 2'
_cell_length_a 8.0642
_cell_length_b 8.0642
_cell_length_c 5.6546
_cell_angle_alpha 90.00
_cell_angle_beta 90.00
_cell_angle_gamma 120.00
loop_
_atom_site_label
_atom_site_type_symbol
_atom_site_fract_x
_atom_site_fract_y
_atom_site_fract_z
_atom_site_occupancy
Sc1 Sc 0.0000 0.3558 0.2500 1
Hg1 Hg 0.0000 0.0000 0.0000 1
Pd1 Pd 0.0000 0.3230 0.7500 1
Pd2 Pd 0.3333 0.6667 0.0000 1
```

no.,formation energy from the elements (eV per atom)
1,-0.306
2,-0.768